Below is a relaxed KMnTc3 crystal, with properties calculated at the PBE-GGA level.

The structure in POSCAR format:
```
KMnTc3
1.0
4.5856 0.0000 0.0000
0.0000 4.5856 0.0000
0.0000 0.0000 4.5856
K Mn Tc
1 1 3
Direct
0.0000 0.0000 0.0000
0.5000 0.5000 0.5000
0.0000 0.5000 0.5000
0.5000 0.0000 0.5000
0.5000 0.5000 0.0000
```

Properties
As for the space-group type: Pm-3m (221). For the excess energy over the best structure of this formula in the dataset, the calculation gives 0.0000 eV/atom. Its energy is -6.826 eV/atom. The calculation puts the energy of formation from the pure elements at 1.4471 eV per atom.

=====

Below is a relaxed KMn2Tc crystal, with properties calculated at the PBE-GGA level.

The structure in POSCAR format:
```
KMn2Tc
1.0
-1.4269 2.8976 5.2027
1.4269 -2.8976 5.2027
1.4269 2.8976 -5.2027
K Mn Tc
1 2 1
Direct
0.0000 0.0000 0.0000
0.3007 0.8007 0.5000
0.6993 0.1993 0.5000
0.5000 0.5000 0.0000
```

Properties
As for the space-group type: Immm (71). For the excess energy over the best structure of this formula in the dataset, the calculation gives 0.5595 eV/atom. Its energy is -6.262 eV/atom. The calculation puts the energy of formation from the pure elements at 1.1882 eV per atom.

=====

Below is a relaxed KMnTc2 crystal, with properties calculated at the PBE-GGA level.

The structure in POSCAR format:
```
KMnTc2
1.0
3.7766 0.0000 0.0000
0.0000 3.7766 0.0000
0.0000 0.0000 4.9944
K Mn Tc
1 1 2
Direct
0.0000 0.0000 0.0000
0.5000 0.5000 0.0000
0.0000 0.5000 0.5000
0.5000 0.0000 0.5000
```

Properties
As for the space-group type: P4/mmm (123). For the excess energy over the best structure of this formula in the dataset, the calculation gives 0.7893 eV/atom. Its energy is -6.285 eV/atom. The calculation puts the energy of formation from the pure elements at 1.4647 eV per atom.

=====

Below is a relaxed KMn3Tc crystal, with properties calculated at the PBE-GGA level.

The structure in POSCAR format:
```
KMn3Tc
1.0
4.9022 0.0000 0.0000
0.0000 4.9022 0.0000
0.0000 0.0000 4.9022
K Mn Tc
1 3 1
Direct
0.0000 0.0000 0.0000
0.0000 0.5000 0.5000
0.5000 0.0000 0.5000
0.5000 0.5000 0.0000
0.5000 0.5000 0.5000
```

Properties
As for the space-group type: Pm-3m (221). For the excess energy over the best structure of this formula in the dataset, the calculation gives 0.0000 eV/atom. Its energy is -6.741 eV/atom. The calculation puts the energy of formation from the pure elements at 1.0530 eV per atom.

=====

Below is a relaxed KMnTc2 crystal, with properties calculated at the PBE-GGA level.

The structure in POSCAR format:
```
KMnTc2
1.0
2.6804 0.0000 0.0000
0.0000 3.4804 0.0000
-0.1593 0.0000 8.3769
K Mn Tc
1 1 2
Direct
0.0000 0.0000 0.0000
0.0000 0.0000 0.5000
0.4930 0.5000 0.3503
0.5070 0.5000 0.6497
```

Properties
As for the space-group type: P2/m (10). For the excess energy over the best structure of this formula in the dataset, the calculation gives 0.1047 eV/atom. Its energy is -6.970 eV/atom. The calculation puts the energy of formation from the pure elements at 0.7802 eV per atom.

=====

Below is a relaxed KMn3Tc crystal, with properties calculated at the PBE-GGA level.

The structure in POSCAR format:
```
KMn3Tc
1.0
4.1334 0.0000 0.0000
0.0000 4.1334 0.0000
0.0000 0.0000 4.1334
K Mn Tc
1 3 1
Direct
0.0000 0.0000 0.0000
0.0000 0.0000 0.5000
0.0000 0.5000 0.0000
0.5000 0.0000 0.0000
0.5000 0.5000 0.5000
```

Properties
As for the space-group type: Pm-3m (221). For the excess energy over the best structure of this formula in the dataset, the calculation gives 1.8703 eV/atom. Its energy is -4.871 eV/atom. The calculation puts the energy of formation from the pure elements at 2.9233 eV per atom.

=====

Below is a relaxed K2MnTc crystal, with properties calculated at the PBE-GGA level.

The structure in POSCAR format:
```
K2MnTc
1.0
3.4394 -1.9855 0.0000
3.4394 1.9855 0.0000
-2.0994 0.0000 9.8978
K Mn Tc
2 1 1
Direct
0.0000 0.0000 0.0000
0.1687 0.1687 0.5499
0.7508 0.7508 0.2748
0.4176 0.4176 0.2750
```

Properties
As for the space-group type: Cm (8). For the excess energy over the best structure of this formula in the dataset, the calculation gives 0.0603 eV/atom. Its energy is -4.612 eV/atom. The calculation puts the energy of formation from the pure elements at 0.8206 eV per atom.

=====

Below is a relaxed KMn2Tc crystal, with properties calculated at the PBE-GGA level.

The structure in POSCAR format:
```
KMn2Tc
1.0
5.1402 0.0000 0.0000
0.0000 5.1402 0.0000
0.0000 0.0000 2.7138
K Mn Tc
1 2 1
Direct
0.0000 0.0000 0.0000
0.0000 0.5000 0.5000
0.5000 0.0000 0.5000
0.5000 0.5000 0.0000
```

Properties
As for the space-group type: P4/mmm (123). For the excess energy over the best structure of this formula in the dataset, the calculation gives 0.5610 eV/atom. Its energy is -6.261 eV/atom. The calculation puts the energy of formation from the pure elements at 1.1897 eV per atom.